No. 1
Material: Na2Ag2Pb
Method: DFT, PBE
State: relaxed

Cell and atoms, written as CIF:
```
data_Na2Ag2Pb
_chemical_formula_sum 'Na4 Ag4 Pb2'
_symmetry_space_group_name_H-M 'I 4/m m m'
_symmetry_Int_Tables_number 139
_symmetry_space_group_name_Hall '-I 4 2'
_cell_length_a 3.8241
_cell_length_b 3.8241
_cell_length_c 18.4768
_cell_angle_alpha 90.00
_cell_angle_beta 90.00
_cell_angle_gamma 90.00
loop_
_atom_site_label
_atom_site_type_symbol
_atom_site_fract_x
_atom_site_fract_y
_atom_site_fract_z
Na1 Na 0.0000 0.0000 0.1128
Ag1 Ag 0.0000 0.5000 0.2500
Pb1 Pb 0.0000 0.0000 0.5000
```

Values from the calculation:
- N(E_F): 5.19 states/eV/cell
- Calculated total energy: -2.368 eV per atom
- Energy above the lowest structure with this stoichiometry: 97 meV/atom
- Calculated density: 5.76 g/cm3
- E_form: 0.042 eV/atom

=====

No. 2
Material: Na3AgPb
Method: DFT, PBE
State: relaxed

Cell and atoms, written as CIF:
```
data_Na3AgPb
_chemical_formula_sum 'Na6 Ag2 Pb2'
_symmetry_space_group_name_H-M 'P 1 21/m 1'
_symmetry_Int_Tables_number 11
_symmetry_space_group_name_Hall '-P 2yb'
_cell_length_a 6.5230
_cell_length_b 5.1961
_cell_length_c 8.3789
_cell_angle_alpha 90.00
_cell_angle_beta 105.70
_cell_angle_gamma 90.00
loop_
_atom_site_label
_atom_site_type_symbol
_atom_site_fract_x
_atom_site_fract_y
_atom_site_fract_z
Na1 Na 0.0170 0.2500 0.2962
Na2 Na 0.2658 0.2500 0.7110
Na3 Na 0.3972 0.2500 0.1330
Ag1 Ag 0.0891 0.7500 0.0814
Pb1 Pb 0.3329 0.7500 0.4493
```

Values from the calculation:
- N(E_F): 3.28 states/eV/cell
- Calculated total energy: -2.177 eV per atom
- Energy above the lowest structure with this stoichiometry: 0 meV/atom
- Calculated density: 4.67 g/cm3
- E_form: -0.074 eV/atom

=====

No. 3
Material: NaAg2Pb
Method: DFT, PBE
State: relaxed

Cell and atoms, written as CIF:
```
data_NaAg2Pb
_chemical_formula_sum 'Na1 Ag2 Pb1'
_symmetry_space_group_name_H-M 'P 4/m m m'
_symmetry_Int_Tables_number 123
_symmetry_space_group_name_Hall '-P 4 2'
_cell_length_a 4.6824
_cell_length_b 4.6824
_cell_length_c 4.0907
_cell_angle_alpha 90.00
_cell_angle_beta 90.00
_cell_angle_gamma 90.00
loop_
_atom_site_label
_atom_site_type_symbol
_atom_site_fract_x
_atom_site_fract_y
_atom_site_fract_z
Na1 Na 0.0000 0.0000 0.0000
Ag1 Ag 0.0000 0.5000 0.5000
Pb1 Pb 0.5000 0.5000 0.0000
```

Values from the calculation:
- N(E_F): 1.61 states/eV/cell
- Calculated total energy: -2.670 eV per atom
- Calculated density: 8.26 g/cm3
- E_form: 0.012 eV/atom

=====

No. 4
Material: NaAg2Pb2
Method: DFT, PBE
State: relaxed

Cell and atoms, written as CIF:
```
data_NaAg2Pb2
_chemical_formula_sum 'Na2 Ag4 Pb4'
_symmetry_space_group_name_H-M 'I 4/m m m'
_symmetry_Int_Tables_number 139
_symmetry_space_group_name_Hall '-I 4 2'
_cell_length_a 4.8728
_cell_length_b 4.8728
_cell_length_c 12.1392
_cell_angle_alpha 90.00
_cell_angle_beta 90.00
_cell_angle_gamma 90.00
loop_
_atom_site_label
_atom_site_type_symbol
_atom_site_fract_x
_atom_site_fract_y
_atom_site_fract_z
Na1 Na 0.0000 0.0000 0.0000
Ag1 Ag 0.0000 0.0000 0.3888
Pb1 Pb 0.0000 0.5000 0.2500
```

Values from the calculation:
- N(E_F): 4.32 states/eV/cell
- Calculated total energy: -2.805 eV per atom
- Energy above the lowest structure with this stoichiometry: 83 meV/atom
- Calculated density: 7.53 g/cm3
- E_form: 0.083 eV/atom

=====

No. 5
Material: NaAgPdPb
Method: DFT, PBE
State: relaxed

Cell and atoms, written as CIF:
```
data_NaAgPdPb
_chemical_formula_sum 'Na4 Ag4 Pd4 Pb4'
_symmetry_space_group_name_H-M 'F -4 3 m'
_symmetry_Int_Tables_number 216
_symmetry_space_group_name_Hall 'F -4 2 3'
_cell_length_a 6.8824
_cell_length_b 6.8824
_cell_length_c 6.8824
_cell_angle_alpha 90.00
_cell_angle_beta 90.00
_cell_angle_gamma 90.00
loop_
_atom_site_label
_atom_site_type_symbol
_atom_site_fract_x
_atom_site_fract_y
_atom_site_fract_z
Na1 Na 0.0000 0.0000 0.0000
Ag1 Ag 0.2500 0.2500 0.2500
Pd1 Pd 0.2500 0.2500 0.7500
Pb1 Pb 0.0000 0.0000 0.5000
```

Values from the calculation:
- N(E_F): 8.16 states/eV/cell
- Calculated total energy: -3.369 eV per atom
- Calculated density: 9.06 g/cm3
- E_form: -0.101 eV/atom

=====

No. 6
Material: Na2AgPdPb
Method: DFT, PBE
State: relaxed

Cell and atoms, written as CIF:
```
data_Na2AgPdPb
_chemical_formula_sum 'Na2 Ag1 Pd1 Pb1'
_symmetry_space_group_name_H-M 'P 4/m m m'
_symmetry_Int_Tables_number 123
_symmetry_space_group_name_Hall '-P 4 2'
_cell_length_a 5.2505
_cell_length_b 5.2505
_cell_length_c 5.2741
_cell_angle_alpha 90.00
_cell_angle_beta 90.00
_cell_angle_gamma 90.00
loop_
_atom_site_label
_atom_site_type_symbol
_atom_site_fract_x
_atom_site_fract_y
_atom_site_fract_z
Na1 Na 0.0000 0.5000 0.0000
Ag1 Ag 0.0000 0.0000 0.0000
Pd1 Pd 0.5000 0.5000 0.5000
Pb1 Pb 0.0000 0.0000 0.5000
```

Values from the calculation:
- N(E_F): 2.01 states/eV/cell
- Calculated total energy: -2.486 eV per atom
- Calculated density: 5.34 g/cm3
- E_form: 0.392 eV/atom

=====

No. 7
Material: NaPrAgPb
Method: DFT, PBE
State: relaxed

Cell and atoms, written as CIF:
```
data_NaPrAgPb
_chemical_formula_sum 'Na4 Pr4 Ag4 Pb4'
_symmetry_space_group_name_H-M 'F -4 3 m'
_symmetry_Int_Tables_number 216
_symmetry_space_group_name_Hall 'F -4 2 3'
_cell_length_a 7.5633
_cell_length_b 7.5633
_cell_length_c 7.5633
_cell_angle_alpha 90.00
_cell_angle_beta 90.00
_cell_angle_gamma 90.00
loop_
_atom_site_label
_atom_site_type_symbol
_atom_site_fract_x
_atom_site_fract_y
_atom_site_fract_z
Na1 Na 0.0000 0.0000 0.0000
Pr1 Pr 0.0000 0.0000 0.5000
Ag1 Ag 0.2500 0.2500 0.7500
Pb1 Pb 0.2500 0.2500 0.2500
```

Values from the calculation:
- N(E_F): 9.13 states/eV/cell
- Calculated total energy: -3.439 eV per atom
- Calculated density: 7.35 g/cm3
- E_form: -0.275 eV/atom

=====

No. 8
Material: RbNaAgPb
Method: DFT, PBE
State: relaxed

Cell and atoms, written as CIF:
```
data_RbNaAgPb
_chemical_formula_sum 'Rb4 Na4 Ag4 Pb4'
_symmetry_space_group_name_H-M 'F -4 3 m'
_symmetry_Int_Tables_number 216
_symmetry_space_group_name_Hall 'F -4 2 3'
_cell_length_a 7.8813
_cell_length_b 7.8813
_cell_length_c 7.8813
_cell_angle_alpha 90.00
_cell_angle_beta 90.00
_cell_angle_gamma 90.00
loop_
_atom_site_label
_atom_site_type_symbol
_atom_site_fract_x
_atom_site_fract_y
_atom_site_fract_z
Rb1 Rb 0.0000 0.0000 0.0000
Na1 Na 0.2500 0.2500 0.2500
Ag1 Ag 0.2500 0.2500 0.7500
Pb1 Pb 0.0000 0.0000 0.5000
```

Values from the calculation:
- N(E_F): 15.52 states/eV/cell
- Calculated total energy: -2.148 eV per atom
- Calculated density: 5.75 g/cm3
- E_form: 0.064 eV/atom

=====

No. 9
Material: RbNaAg2Pb
Method: DFT, PBE
State: relaxed

Cell and atoms, written as CIF:
```
data_RbNaAg2Pb
_chemical_formula_sum 'Rb1 Na1 Ag2 Pb1'
_symmetry_space_group_name_H-M 'P 4/m m m'
_symmetry_Int_Tables_number 123
_symmetry_space_group_name_Hall '-P 4 2'
_cell_length_a 5.5273
_cell_length_b 5.5273
_cell_length_c 6.6457
_cell_angle_alpha 90.00
_cell_angle_beta 90.00
_cell_angle_gamma 90.00
loop_
_atom_site_label
_atom_site_type_symbol
_atom_site_fract_x
_atom_site_fract_y
_atom_site_fract_z
Rb1 Rb 0.0000 0.0000 0.0000
Na1 Na 0.5000 0.5000 0.0000
Ag1 Ag 0.0000 0.5000 0.5000
Pb1 Pb 0.0000 0.0000 0.5000
```

Values from the calculation:
- N(E_F): 2.14 states/eV/cell
- Calculated total energy: -2.008 eV per atom
- Calculated density: 4.35 g/cm3
- E_form: 0.332 eV/atom

=====

No. 10
Material: NaAgRhPb
Method: DFT, PBE
State: relaxed

Cell and atoms, written as CIF:
```
data_NaAgRhPb
_chemical_formula_sum 'Na4 Ag4 Rh4 Pb4'
_symmetry_space_group_name_H-M 'F -4 3 m'
_symmetry_Int_Tables_number 216
_symmetry_space_group_name_Hall 'F -4 2 3'
_cell_length_a 6.7476
_cell_length_b 6.7476
_cell_length_c 6.7476
_cell_angle_alpha 90.00
_cell_angle_beta 90.00
_cell_angle_gamma 90.00
loop_
_atom_site_label
_atom_site_type_symbol
_atom_site_fract_x
_atom_site_fract_y
_atom_site_fract_z
Na1 Na 0.0000 0.0000 0.0000
Ag1 Ag 0.2500 0.2500 0.2500
Rh1 Rh 0.0000 0.0000 0.5000
Pb1 Pb 0.2500 0.2500 0.7500
```

Values from the calculation:
- N(E_F): 8.02 states/eV/cell
- Calculated total energy: -3.756 eV per atom
- Calculated density: 9.53 g/cm3
- E_form: 0.052 eV/atom